# Y2Ta2Te, optimized geometry, DFT PBE-GGA
data_Y2Ta2Te
_chemical_formula_sum 'Y2 Ta2 Te1'
_space_group_name_H-M_alt 'P 1'
_space_group_IT_number 1
_cell_length_a 9.5372
_cell_length_b 9.5372
_cell_length_c 9.5372
_cell_angle_alpha 156.98
_cell_angle_beta 156.98
_cell_angle_gamma 32.78
loop_
_space_group_symop_operation_xyz
'x,y,z'
loop_
_atom_site_label
_atom_site_type_symbol
_atom_site_fract_x
_atom_site_fract_y
_atom_site_fract_z
_atom_site_occupancy
Y1 Y 0.1061 0.1061 0.0000 1
Y2 Y 0.8939 0.8939 0.0000 1
Ta1 Ta 0.2500 0.7500 0.5000 1
Ta2 Ta 0.7500 0.2500 0.5000 1
Te1 Te 0.5000 0.5000 0.0000 1
# Mass density in kg/m3: 8361
# DFT total energy in eV per atom: -8.01
# Space-group type: I4/mmm



# YTa2Te, optimized geometry, DFT PBE-GGA
data_YTa2Te
_chemical_formula_sum 'Y1 Ta2 Te1'
_space_group_name_H-M_alt 'P 1'
_space_group_IT_number 1
_cell_length_a 3.6840
_cell_length_b 3.6840
_cell_length_c 6.4860
_cell_angle_alpha 90.00
_cell_angle_beta 90.00
_cell_angle_gamma 90.00
loop_
_space_group_symop_operation_xyz
'x,y,z'
loop_
_atom_site_label
_atom_site_type_symbol
_atom_site_fract_x
_atom_site_fract_y
_atom_site_fract_z
_atom_site_occupancy
Y1 Y 0.0000 0.0000 0.0000 1
Ta1 Ta 0.5000 0.5000 0.2925 1
Ta2 Ta 0.5000 0.5000 0.7075 1
Te1 Te 0.0000 0.0000 0.5000 1
# Mass density in kg/m3: 10911
# DFT total energy in eV per atom: -8.09
# Space-group type: P4/mmm



Number 1: spin magnetization 0.000 μB per atom, formation energy (no corrections) -0.0560 eV per atom. Number 2: spin magnetization 0.000 μB per atom, formation energy (no corrections) 0.2393 eV per atom.